A relaxed structure of NbCuGe. Source: the Alexandria database, functional PBE-GGA.

Results
The formation energy from the elements comes out at -0.165 eV per atom. For the total magnetization, the calculation gives 0.00 μB/cell.

Structure (POSCAR):
```
NbCuGe
1.0
2.8753 0.0000 0.0000
0.0000 14.1052 0.0000
0.0000 0.0000 4.5482
Nb Cu Ge
4 4 4
direct
0.0000 0.1769 0.0000
0.0000 0.8231 0.0000
0.5000 0.3231 0.5000
0.5000 0.6769 0.5000
0.0000 0.0000 0.3138
0.0000 0.5000 0.3606
0.5000 0.0000 0.8606
0.5000 0.5000 0.8138
0.0000 0.3650 0.9991
0.0000 0.6350 0.9991
0.5000 0.1350 0.4991
0.5000 0.8650 0.4991
```